<w>
VASP calculation (GGA-PBE) on a geometry-optimized NaIrSeBr2 structure.

The structure in POSCAR format:
```
NaIrSeBr2
1.0
5.4458 0.0000 0.0000
0.0000 5.4458 0.0000
0.0000 0.0000 4.6604
Na Ir Se Br
1 1 1 2
Cartesian
0.0000 0.0000 0.0000 Na
2.7229 2.7229 2.3302 Ir
2.7229 2.7229 0.0000 Se
0.0000 2.7229 2.3302 Br
2.7229 0.0000 2.3302 Br
```

Results
Its total magnetic moment is 0.000 μB/atom. The value obtained for the density of states at the Fermi level is 3.78 states/eV per cell.



<x>
VASP calculation (GGA-PBE) on a geometry-optimized NaIrSeBr2 structure.

The structure in POSCAR format:
```
NaIrSeBr2
1.0
5.1128 0.0000 0.0000
0.0000 5.1128 0.0000
0.0000 0.0000 5.4259
Na Ir Se Br
1 1 1 2
Cartesian
0.0000 0.0000 0.0000 Na
2.5564 2.5564 2.7129 Ir
0.0000 0.0000 2.7129 Se
0.0000 2.5564 0.0000 Br
2.5564 0.0000 0.0000 Br
```

Results
Its total magnetic moment is 0.822 μB/atom. The value obtained for the density of states at the Fermi level is 5.70 states/eV per cell.



<w> is the most stable structure; the next one sits 1.351 eV/atom above it.



<w>
VASP calculation (GGA-PBE) on a geometry-optimized NiIrBr2 structure.

The structure in POSCAR format:
```
NiIrBr2
1.0
3.2782 -3.2821 0.0000
3.2782 3.2821 0.0000
0.0000 0.0000 3.1756
Ni Ir Br
1 1 2
Cartesian
0.0000 0.0000 0.0000 Ni
3.2782 0.0000 0.0000 Ir
1.6391 1.6410 1.5878 Br
1.6391 -1.6410 1.5878 Br
```

Results
Its total magnetic moment is 0.205 μB/atom. The value obtained for the density of states at the Fermi level is 4.42 states/eV per cell.



<x>
VASP calculation (GGA-PBE) on a geometry-optimized NiIrBr2 structure.

The structure in POSCAR format:
```
NiIrBr2
1.0
1.6876 0.9743 7.8890
-1.6876 0.9743 7.8890
0.0000 -1.9487 7.8890
Ni Ir Br
1 1 2
Cartesian
0.0000 0.0000 0.0000 Ni
0.0000 0.0000 11.8335 Ir
0.0000 0.0000 9.4203 Br
0.0000 0.0000 14.2466 Br
```

Results
Its total magnetic moment is 0.266 μB/atom. The value obtained for the density of states at the Fermi level is 3.80 states/eV per cell.



<x> is the most stable structure; the next one sits 0.366 eV/atom above it.



<w>
VASP calculation (GGA-PBE) on a geometry-optimized NiIrBr2 structure.

The structure in POSCAR format:
```
NiIrBr2
1.0
0.0000 3.3074 3.3074
3.3074 0.0000 3.3074
3.3074 3.3074 0.0000
Ni Ir Br
1 1 2
Cartesian
0.0000 0.0000 0.0000 Ni
1.6537 1.6537 1.6537 Ir
3.3074 3.3074 3.3074 Br
4.9610 4.9610 4.9610 Br
```

Results
Its total magnetic moment is 0.434 μB/atom. The value obtained for the density of states at the Fermi level is 6.46 states/eV per cell.



<x>
VASP calculation (GGA-PBE) on a geometry-optimized NiIrBr2 structure.

The structure in POSCAR format:
```
NiIrBr2
1.0
1.6271 0.9394 7.5538
-1.6271 0.9394 7.5538
0.0000 -1.8788 7.5538
Ni Ir Br
1 1 2
Cartesian
0.0000 0.0000 0.0000 Ni
0.0000 0.0000 11.3307 Ir
0.0000 0.0000 5.8979 Br
0.0000 0.0000 16.7635 Br
```

Results
Its total magnetic moment is 0.000 μB/atom. The value obtained for the density of states at the Fermi level is 3.87 states/eV per cell.



<y>
VASP calculation (GGA-PBE) on a geometry-optimized NiIrBr2 structure.

The structure in POSCAR format:
```
NiIrBr2
1.0
3.3337 -3.8171 0.0000
3.3337 3.8171 0.0000
-0.0085 0.0000 3.1035
Ni Ir Br
1 1 2
Cartesian
0.0000 0.0000 0.0000 Ni
3.3337 0.0000 0.0000 Ir
1.6668 1.9086 0.0000 Br
1.6668 -1.9086 0.0000 Br
```

Results
Its total magnetic moment is 0.155 μB/atom. The value obtained for the density of states at the Fermi level is 5.12 states/eV per cell.



<x> is the most stable structure; the next one sits 0.018 eV/atom above it.